No. 1
Compound: CsAc2HgO5
Source: Alexandria
Functional: PBE
Structure: optimized geometry

The structure in POSCAR format:
```
CsAc2HgO5
1.0
-4.4860 -5.7542 -0.6394
-0.4212 -0.4824 7.2961
-2.6553 7.1047 -3.3597
Cs O Hg Ac
2 10 2 4
direct
0.7500 0.7500 0.5000
0.2500 0.2500 0.5000
0.2498 0.0215 0.7713
0.5215 0.7498 0.7713
0.5000 0.5000 0.0000
0.0215 0.5215 0.7713
0.9785 0.4785 0.2287
0.7498 0.2498 0.7713
0.0000 0.0000 0.0000
0.4785 0.2502 0.2287
0.2502 0.7502 0.2287
0.7502 0.9785 0.2287
0.2500 0.7500 0.5000
0.7500 0.2500 0.5000
0.8251 0.6749 0.0000
0.1749 0.3251 0.0000
0.6749 0.1749 0.0000
0.3251 0.8251 0.0000
```

## Properties
calculated density = 8.29 g cm⁻³
N(E_F) = 13.46 states/eV/cell
raw formation energy = -2056.7 meV/atom
final energy = -52.67 eV per formula unit
magnetic moment = 0.110 μB/atom

***

No. 2
Compound: CsAc2Hg2Pb2
Source: Alexandria
Functional: PBE
Structure: optimized geometry

The structure in POSCAR format:
```
CsAc2Hg2Pb2
1.0
-4.1288 3.7318 -0.0603
-4.4774 -0.7512 3.2196
1.9944 6.5040 9.1018
Hg Pb Cs Ac
2 2 1 2
direct
0.4457 0.4457 0.6628
0.5543 0.5543 0.3372
0.2468 0.2468 0.2597
0.7532 0.7532 0.7403
0.0000 0.0000 0.0000
0.8673 0.8673 0.3980
0.1327 0.1327 0.6020
```

## Properties
calculated density = 7.96 g cm⁻³
N(E_F) = 2.93 states/eV/cell
ΔH_f (0 K) = -197 kJ/mol of formula units
final energy = -19.13 eV per formula unit
magnetic moment = 0.000 μB/atom

***

No. 3
Compound: CsAcHgS3
Source: Alexandria
Functional: PBE
Structure: optimized geometry

The structure in POSCAR format:
```
CsAcHgS3
1.0
4.4495 0.0000 0.0000
0.0000 9.5996 -0.1368
0.0000 -2.6721 10.0071
S Ac Cs Hg
6 2 2 2
direct
0.7500 0.8750 0.1328
0.2500 0.8088 0.4649
0.2500 0.5413 0.8556
0.2500 0.1250 0.8672
0.7500 0.4587 0.1444
0.7500 0.1912 0.5351
0.2500 0.6645 0.1484
0.7500 0.3355 0.8516
0.7500 0.7993 0.7690
0.2500 0.2007 0.2310
0.2500 0.0855 0.6179
0.7500 0.9145 0.3821
```

## Properties
calculated density = 5.12 g cm⁻³
N(E_F) = 0.00 states/eV/cell
raw formation energy = -1279.0 meV/atom
final energy = -25.32 eV per formula unit
magnetic moment = 0.000 μB/atom

***

No. 4
Compound: Cs2AcHg2Se4
Source: Alexandria
Functional: PBE
Structure: optimized geometry

The structure in POSCAR format:
```
Cs2AcHg2Se4
1.0
4.8394 0.0000 0.0000
0.0000 8.4762 0.3558
-2.4197 -3.0428 7.8675
Hg Ac Se Cs
2 1 4 2
direct
0.3310 0.9897 0.6619
0.6690 0.0103 0.3381
0.0000 0.0000 0.0000
0.4881 0.2347 0.9762
0.5119 0.7653 0.0238
0.1989 0.1729 0.3978
0.8011 0.8271 0.6022
0.8665 0.4265 0.7330
0.1335 0.5735 0.2670
```

## Properties
calculated density = 6.13 g cm⁻³
N(E_F) = 3.20 states/eV/cell
raw formation energy = -1027.4 meV/atom
final energy = -29.60 eV per formula unit
magnetic moment = 0.000 μB/atom

***

No. 5
Compound: CsAcSnHg
Source: Alexandria
Functional: PBE
Structure: optimized geometry

The structure in POSCAR format:
```
CsAcSnHg
1.0
5.9846 0.0000 0.0000
2.9923 5.1828 0.0000
2.9923 1.7276 4.8864
Hg Cs Ac Sn
1 1 1 1
direct
0.5000 0.5000 0.5000
0.2500 0.2500 0.2500
0.7500 0.7500 0.7500
0.0000 0.0000 0.0000
```

## Properties
calculated density = 7.44 g cm⁻³
N(E_F) = 0.30 states/eV/cell
ΔH_f (0 K) = -90 kJ/mol of formula units
final energy = -10.20 eV per formula unit
magnetic moment = 0.000 μB/atom

***

No. 6
Compound: CsAc2Ho
Source: Alexandria
Functional: PBE
Structure: optimized geometry

The structure in POSCAR format:
```
CsAc2Ho
1.0
-3.1257 -1.6040 -1.7790
0.1009 -3.7686 -1.1380
-6.1251 -5.7094 11.5506
Ho Ac Cs
1 2 1
direct
0.5000 0.5000 0.5000
0.9025 0.9025 0.2925
0.0975 0.0975 0.7075
0.0000 0.0000 0.0000
```

## Properties
calculated density = 6.60 g cm⁻³
N(E_F) = 4.09 states/eV/cell
ΔH_f (0 K) = 93 kJ/mol of formula units
final energy = -12.68 eV per formula unit
magnetic moment = 0.000 μB/atom

***

No. 7
Compound: Cs3Ac2HoO6
Source: Alexandria
Functional: PBE
Structure: optimized geometry

The structure in POSCAR format:
```
Cs3Ac2HoO6
1.0
-5.2836 3.1663 2.2571
-0.7107 -5.0462 -4.1312
1.6647 -3.7629 6.0290
O Cs Ac Ho
6 3 2 1
direct
0.9432 0.6330 0.8304
0.7461 0.7461 0.1713
0.3670 0.0568 0.1696
0.2539 0.2539 0.8287
0.6330 0.9432 0.8304
0.0568 0.3670 0.1696
0.1634 0.8366 0.5000
0.5000 0.5000 0.5000
0.8366 0.1634 0.5000
0.3332 0.6668 0.0000
0.6668 0.3332 0.0000
0.0000 0.0000 0.0000
```

## Properties
calculated density = 7.12 g cm⁻³
N(E_F) = 0.00 states/eV/cell
raw formation energy = -2531.1 meV/atom
final energy = -75.48 eV per formula unit
magnetic moment = 0.000 μB/atom

***

No. 8
Compound: Cs2AcHoS4
Source: Alexandria
Functional: PBE
Structure: optimized geometry

The structure in POSCAR format:
```
Cs2AcHoS4
1.0
-2.2897 -1.6429 3.2363
4.3015 -6.0691 -0.0377
3.5781 5.5152 5.3312
Cs S Ac Ho
2 4 1 1
direct
0.0000 0.5000 0.5000
0.5000 0.0000 0.5000
0.5000 0.7506 0.8113
0.0000 0.7105 0.1825
0.0000 0.2895 0.8175
0.5000 0.2494 0.1887
0.0000 0.0000 0.0000
0.5000 0.5000 0.0000
```

## Properties
calculated density = 5.05 g cm⁻³
N(E_F) = 0.00 states/eV/cell
raw formation energy = -1828.5 meV/atom
final energy = -41.53 eV per formula unit
magnetic moment = 0.000 μB/atom

***

No. 9
Compound: Cs3Ac2HoS6
Source: Alexandria
Functional: PBE
Structure: optimized geometry

The structure in POSCAR format:
```
Cs3Ac2HoS6
1.0
7.5487 -0.0010 0.0004
-3.7734 6.5379 0.0004
-1.2587 -2.1795 8.1065
S Ac Cs Ho
6 2 3 1
direct
0.6245 0.9375 0.8128
0.3755 0.0625 0.1872
0.2504 0.2504 0.8121
0.7496 0.7496 0.1879
0.0625 0.3755 0.1872
0.9375 0.6245 0.8128
0.3334 0.6666 0.0000
0.6666 0.3334 0.0000
0.1675 0.8325 0.5000
0.5000 0.5000 0.5000
0.8325 0.1675 0.5000
0.0000 0.0000 0.0000
```

## Properties
calculated density = 5.02 g cm⁻³
N(E_F) = 0.00 states/eV/cell
raw formation energy = -1845.8 meV/atom
final energy = -62.27 eV per formula unit
magnetic moment = 0.000 μB/atom

***

No. 10
Compound: Cs3AcHo2Se6
Source: Alexandria
Functional: PBE
Structure: optimized geometry

The structure in POSCAR format:
```
Cs3AcHo2Se6
1.0
-2.0988 0.2740 -7.2867
1.4161 -6.6892 3.2902
-7.8327 1.5682 3.6353
Ho Ac Cs Se
2 1 3 6
direct
0.6669 0.3331 0.0000
0.3331 0.6669 0.0000
0.0000 0.0000 0.0000
0.1634 0.8366 0.5000
0.8366 0.1634 0.5000
0.5000 0.5000 0.5000
0.2909 0.2909 0.8130
0.4163 0.0629 0.1884
0.9371 0.5837 0.8116
0.0629 0.4163 0.1884
0.5837 0.9371 0.8116
0.7091 0.7091 0.1870
```

## Properties
calculated density = 5.66 g cm⁻³
N(E_F) = 0.00 states/eV/cell
raw formation energy = -1739.1 meV/atom
final energy = -57.60 eV per formula unit
magnetic moment = 0.000 μB/atom

***

No. 11
Compound: Cs4Ac3HoSe8
Source: Alexandria
Functional: PBE
Structure: optimized geometry

The structure in POSCAR format:
```
Cs4Ac3HoSe8
1.0
9.0903 0.0000 0.0000
0.0000 9.9151 0.5700
-4.5451 -4.5410 6.4312
Cs Se Ac Ho
4 8 3 1
direct
0.0000 0.0000 0.0000
0.0000 0.0000 0.5000
0.5000 0.0000 0.0000
0.5000 0.0000 0.5000
0.2668 0.3006 0.5335
0.7482 0.6907 0.9696
0.2214 0.6907 0.9696
0.7332 0.6994 0.4665
0.7786 0.3093 0.0304
0.2215 0.6908 0.4429
0.2518 0.3093 0.0304
0.7785 0.3092 0.5571
0.5000 0.5000 0.0000
0.0000 0.5000 0.5000
0.5000 0.5000 0.5000
0.0000 0.5000 0.0000
```

## Properties
calculated density = 5.53 g cm⁻³
N(E_F) = 0.00 states/eV/cell
raw formation energy = -1771.4 meV/atom
final energy = -76.54 eV per formula unit
magnetic moment = 0.000 μB/atom

***

No. 12
Compound: Cs4AcHo3Te8
Source: Alexandria
Functional: PBE
Structure: optimized geometry

The structure in POSCAR format:
```
Cs4AcHo3Te8
1.0
-3.0632 3.0447 8.2056
9.2612 -2.1578 4.2579
0.0480 5.6809 -7.3294
Ho Te Cs Ac
3 8 4 1
direct
0.0000 0.5000 0.5000
0.5000 0.5000 0.5000
0.5000 0.5000 0.0000
0.7602 0.3069 0.0466
0.2398 0.6930 0.4796
0.7602 0.3070 0.5204
0.7135 0.6931 0.9534
0.2398 0.6931 0.9534
0.2711 0.3135 0.5422
0.7289 0.6865 0.4578
0.2865 0.3069 0.0466
0.5000 0.0000 0.5000
0.0000 0.0000 0.0000
0.5000 0.0000 0.0000
0.0000 0.0000 0.5000
0.0000 0.5000 0.0000
```

## Properties
calculated density = 5.67 g cm⁻³
raw formation energy = -1397.1 meV/atom
final energy = -68.74 eV per formula unit
magnetic moment = 0.000 μB/atom

***

No. 13
Compound: Cs4AcI5
Source: Alexandria
Functional: PBE
Structure: optimized geometry

The structure in POSCAR format:
```
Cs4AcI5
1.0
-1.7695 7.5482 -1.4861
-9.0846 2.1105 0.5707
0.0583 5.6123 7.4705
I Cs Ac
5 4 1
direct
0.9285 0.3604 0.8141
0.3992 0.0000 0.0000
0.2889 0.8141 0.6396
0.7426 0.1859 0.3604
0.1030 0.6396 0.1859
0.8094 0.7996 0.6198
0.6090 0.6198 0.2004
0.2288 0.2004 0.3802
0.4292 0.3802 0.7996
0.9717 0.0000 0.0000
```

## Properties
calculated density = 4.09 g cm⁻³
N(E_F) = 4.99 states/eV/cell
raw formation energy = -1263.3 meV/atom
final energy = -27.91 eV per formula unit
magnetic moment = 0.174 μB/atom

***

No. 14
Compound: Cs4AcI7
Source: Alexandria
Functional: PBE
Structure: optimized geometry

The structure in POSCAR format:
```
Cs4AcI7
1.0
6.2002 0.0000 -2.0249
-1.3742 7.1503 -4.2076
1.3165 3.5690 14.5360
Cs I Ac
4 7 1
direct
0.2862 0.7894 0.5723
0.5876 0.5217 0.1752
0.7138 0.2106 0.4277
0.4124 0.4783 0.8248
0.9440 0.2755 0.8879
0.7180 0.7281 0.4359
0.1064 0.2737 0.2127
0.8936 0.7263 0.7873
0.5000 0.0000 0.0000
0.2820 0.2719 0.5641
0.0560 0.7245 0.1121
0.0000 0.0000 0.0000
```

## Properties
calculated density = 3.57 g cm⁻³
N(E_F) = 0.00 states/eV/cell
raw formation energy = -1508.8 meV/atom
final energy = -36.48 eV per formula unit
magnetic moment = 0.000 μB/atom

***

No. 15
Compound: Cs2AcI4
Source: Alexandria
Functional: PBE
Structure: optimized geometry

The structure in POSCAR format:
```
Cs2AcI4
1.0
6.5038 0.0000 0.0000
0.0000 6.5038 0.0000
3.2519 3.2519 9.7410
I Cs Ac
4 2 1
direct
0.5000 0.0000 0.0000
0.1697 0.1697 0.6607
0.8303 0.8303 0.3393
0.0000 0.5000 0.0000
0.6350 0.6350 0.7300
0.3650 0.3650 0.2700
0.0000 0.0000 0.0000
```

## Properties
calculated density = 4.03 g cm⁻³
N(E_F) = 3.45 states/eV/cell
raw formation energy = -1365.5 meV/atom
final energy = -21.57 eV per formula unit
magnetic moment = 0.071 μB/atom

***

No. 16
Compound: CsAcI3
Source: Alexandria
Functional: PBE
Structure: optimized geometry

The structure in POSCAR format:
```
CsAcI3
1.0
-5.8445 -2.7912 0.7477
2.5691 -4.2469 4.2276
-1.3228 4.0843 4.9068
Ac I Cs
1 3 1
direct
0.0000 0.0000 0.0000
0.0000 0.0000 0.5000
0.0000 0.5000 0.0000
0.5000 0.0000 0.0000
0.5000 0.5000 0.5000
```

## Properties
calculated density = 4.44 g cm⁻³
N(E_F) = 3.86 states/eV/cell
raw formation energy = -1301.5 meV/atom
final energy = -16.12 eV per formula unit
magnetic moment = 0.000 μB/atom

***

No. 17
Compound: Cs5Ac2I12
Source: Alexandria
Functional: PBE
Structure: optimized geometry

The structure in POSCAR format:
```
Cs5Ac2I12
1.0
-9.0496 -3.5499 -1.0887
-3.1911 -0.8672 10.7082
-6.0562 8.4161 4.2535
Ac Cs I
2 5 12
direct
0.0000 0.7521 0.2479
0.0000 0.2479 0.7521
0.0025 0.2499 0.2499
0.4804 0.6328 0.6328
0.9975 0.7501 0.7501
0.5196 0.3672 0.3672
0.5000 0.0000 0.0000
0.7766 0.8460 0.4608
0.8321 0.4609 0.4609
0.2234 0.1540 0.5392
0.7746 0.0920 0.6963
0.7766 0.4608 0.8460
0.2254 0.3037 0.9080
0.1627 0.9179 0.9179
0.8373 0.0821 0.0821
0.2234 0.5392 0.1540
0.7746 0.6963 0.0920
0.1679 0.5391 0.5391
0.2254 0.9080 0.3037
```

## Properties
calculated density = 4.11 g cm⁻³
N(E_F) = 14.67 states/eV/cell
raw formation energy = -1427.3 meV/atom
final energy = -58.21 eV per formula unit
magnetic moment = 0.000 μB/atom

***

No. 18
Compound: CsAcI2
Source: Alexandria
Functional: PBE
Structure: optimized geometry

The structure in POSCAR format:
```
CsAcI2
1.0
4.3558 0.0000 0.0000
2.1779 3.7722 0.0000
2.1779 1.2574 10.5678
Ac Cs I
1 1 2
direct
0.0000 0.0000 0.0000
0.5000 0.5000 0.5000
0.2563 0.2563 0.2312
0.7437 0.7437 0.7688
```

## Properties
calculated density = 5.87 g cm⁻³
energy above the lowest structure with this stoichiometry = 0 meV per atom
N(E_F) = 2.27 states/eV/cell
raw formation energy = -1101.7 meV/atom
final energy = -12.47 eV per formula unit
magnetic moment = 0.000 μB/atom

***

No. 19
Compound: Cs4AcI6
Source: Alexandria
Functional: PBE
Structure: optimized geometry

The structure in POSCAR format:
```
Cs4AcI6
1.0
-4.6873 -4.8659 8.0909
9.3992 -1.5520 4.5118
-0.9340 9.6611 5.2691
I Cs Ac
12 8 2
direct
0.1015 0.3047 0.5000
0.0000 0.0000 0.2012
0.5000 0.5000 0.7012
0.3047 0.8985 0.5000
0.6953 0.1015 0.5000
0.5000 0.5000 0.2988
0.6015 0.1953 0.0000
0.0000 0.0000 0.7988
0.1953 0.3985 0.0000
0.3985 0.8047 0.0000
0.8047 0.6015 0.0000
0.8985 0.6953 0.5000
0.1688 0.6688 0.2500
0.6688 0.8312 0.2500
0.1688 0.6688 0.7500
0.3312 0.1688 0.7500
0.3312 0.1688 0.2500
0.6688 0.8312 0.7500
0.8312 0.3312 0.7500
0.8312 0.3312 0.2500
0.0000 0.0000 0.5000
0.5000 0.5000 0.0000
```

## Properties
calculated density = 4.11 g cm⁻³
N(E_F) = 13.10 states/eV/cell
raw formation energy = -1425.1 meV/atom
final energy = -32.50 eV per formula unit
magnetic moment = 0.090 μB/atom

***

No. 20
Compound: Cs2AcI5
Source: Alexandria
Functional: PBE
Structure: optimized geometry

The structure in POSCAR format:
```
Cs2AcI5
1.0
-8.3187 4.8248 2.0902
-3.2145 -1.2222 -9.9721
-6.8824 -13.5464 3.8788
I Cs Ac
20 8 4
direct
0.1481 0.2500 0.8001
0.8519 0.7500 0.1999
0.8885 0.2500 0.1818
0.6681 0.4552 0.4312
0.0876 0.2500 0.5105
0.4124 0.2500 0.0105
0.3519 0.2500 0.3001
0.1681 0.5448 0.0688
0.5876 0.7500 0.9895
0.6115 0.2500 0.6818
0.8319 0.0448 0.9312
0.9124 0.7500 0.4895
0.1115 0.7500 0.8182
0.6681 0.0448 0.4312
0.3319 0.9552 0.5688
0.3885 0.7500 0.3182
0.3319 0.5448 0.5688
0.8319 0.4552 0.9312
0.6481 0.7500 0.6999
0.1681 0.9552 0.0688
0.0681 0.5066 0.3293
0.9319 0.0066 0.6707
0.5681 0.4934 0.1707
0.9319 0.4934 0.6707
0.5681 0.0066 0.1707
0.0681 0.9934 0.3293
0.4319 0.5066 0.8293
0.4319 0.9934 0.8293
0.9276 0.7500 0.9946
0.4276 0.2500 0.5054
0.0724 0.2500 0.0054
0.5724 0.7500 0.4946
```

## Properties
calculated density = 4.60 g cm⁻³
energy above the lowest structure with this stoichiometry = 0 meV per atom
N(E_F) = 0.00 states/eV/cell
raw formation energy = -1596.6 meV/atom
final energy = -26.34 eV per formula unit
magnetic moment = 0.000 μB/atom